No. 1
Here is a relaxed structure of CaTl2Cd from Alexandria. Energies are from PBEsol.

Structure (extended XYZ):
```
4
Lattice="-2.2848 -3.0294 3.0124 -2.8243 -1.4905 -3.6411 2.8751 -3.1177 -0.9539" Properties=species:S:1:pos:R:3 pbc="T T T"
Tl 0.0734 -0.7688 0.2578
Tl -2.4805 -3.0281 -0.0574
Ca 0.3686 -3.8421 1.2869
Cd 0.0996 -3.0721 -2.0407
```

Output
The total DFT energy (no corrections) is -9.67 eV/cell. The energy of formation from the pure elements comes out at -270.7 meV/atom. As for the symmetry: P4/mmm. For the energy above the most stable polymorph in this dataset, the calculation gives 0.0 meV/atom. The density of states at the Fermi level is 0.53 states/eV/atom.

***

No. 2
Here is a relaxed structure of BeGaCoP2 from Alexandria. Energies are from PBEsol.

Structure (extended XYZ):
```
5
Lattice="4.0960 0.0000 0.0000 0.0000 4.0960 0.0000 0.0000 0.0000 4.3341" Properties=species:S:1:pos:R:3 pbc="T T T"
P 0.0000 2.0480 0.0000
P 2.0480 0.0000 0.0000
Co 2.0480 2.0480 2.1670
Ga 0.0000 0.0000 2.1670
Be 0.0000 0.0000 0.0000
```

Output
The total DFT energy (no corrections) is -22.44 eV/cell. The energy of formation from the pure elements comes out at 843.7 meV/atom. As for the symmetry: P4/mmm. The density of states at the Fermi level is 1.21 states/eV/atom.

***

No. 3
Here is a relaxed structure of Zr4CoP from Alexandria. Energies are from PBEsol.

Structure (extended XYZ):
```
12
Lattice="-5.3028 0.6376 0.3594 -0.6379 -6.1200 1.4459 0.5831 1.3895 6.1385" Properties=species:S:1:pos:R:3 pbc="T T T"
P -4.0044 -1.8871 4.0618
P -1.3531 -2.2059 3.8821
Co -3.9771 0.4782 0.2696
Co -1.3257 0.1594 0.0899
Zr -2.5595 -0.1967 2.4503
Zr -2.7980 -3.8963 5.4935
Zr -2.9842 -3.5458 2.1253
Zr -2.3733 -0.5471 5.8185
Zr -0.3423 -4.6812 3.2547
Zr 0.0641 -2.9189 6.1238
Zr -0.1188 -1.8117 1.4606
Zr 0.2875 -0.0494 4.3297
```

Output
The total DFT energy (no corrections) is -107.82 eV/cell. The energy of formation from the pure elements comes out at -670.4 meV/atom. As for the symmetry: P4/mcc. The density of states at the Fermi level is 1.04 states/eV/atom.

***

No. 4
Here is a relaxed structure of LiLa3Tc from Alexandria. Energies are from PBEsol.

Structure (extended XYZ):
```
5
Lattice="5.4663 0.0000 0.0000 0.0000 5.4663 0.0000 0.0000 0.0000 5.4663" Properties=species:S:1:pos:R:3 pbc="T T T"
Li 2.7331 2.7331 2.7331
Tc 0.0000 0.0000 0.0000
La 0.0000 2.7331 0.0000
La 0.0000 0.0000 2.7331
La 2.7331 0.0000 0.0000
```

Output
The total DFT energy (no corrections) is -28.67 eV/cell. The energy of formation from the pure elements comes out at 119.5 meV/atom. As for the symmetry: Pm-3m. The density of states at the Fermi level is 1.13 states/eV/atom.

***

Record order is preserved below.
Magnetization: 0.0000, 0.2854, 0.0000, 0.0001 μB per atom